The following is a SCAN calculation of a PBEsol-optimized structure of AlCoO2F, from Alexandria via LeMat-Bulk.

Cell: 3.4815 3.7060 3.7060 Å, 90.00 90.00 90.00°
Fractional positions:
Co  0.5000  0.5000  0.5000
Al  0.0000  0.0000  0.0000
O  0.0000  0.0000  0.5000
O  0.0000  0.5000  0.0000
F  0.5000  0.0000  0.0000

As for the energy relative to the elements, uncorrected: -2.12 eV/atom. Its symmetry is P4/mmm.

=====

The following is a SCAN calculation of a PBEsol-optimized structure of AlFeCo2, from Alexandria via LeMat-Bulk.

Cell: 2.8569 3.9405 3.9405 Å, 90.00 90.00 90.00°
Fractional positions:
Co  0.0000  0.0000  0.5000
Co  0.0000  0.5000  0.0000
Fe  0.5000  0.5000  0.5000
Al  0.5000  0.0000  0.0000

The calculation puts the density of states at the Fermi level at 0.876 states/eV/cell. Its symmetry is P4/mmm.

=====

The following is a SCAN calculation of a PBEsol-optimized structure of Al2FeCo, from Alexandria via LeMat-Bulk.

Cell: 2.8288 2.8288 5.6710 Å, 90.00 90.00 90.00°
Fractional positions:
Co  0.0000  0.0000  0.5000
Fe  0.0000  0.0000  0.0000
Al  0.5000  0.5000  0.2492
Al  0.5000  0.5000  0.7508

The calculation puts the density of states at the Fermi level at 2.589 states/eV/cell. Its symmetry is P4/mmm.

=====

The following is a SCAN calculation of a PBEsol-optimized structure of AlFeCo2, from Alexandria via LeMat-Bulk.

Cell: 2.5503 2.5503 8.0487 Å, 80.88 80.88 60.00°
Fractional positions:
Co  0.0018  0.0018  0.9945
Co  0.7492  0.7492  0.7524
Fe  0.4984  0.4984  0.5048
Al  0.2506  0.2506  0.2483

The calculation puts the density of states at the Fermi level at 2.692 states/eV/cell. Its symmetry is R3m.

=====

The following is a SCAN calculation of a PBEsol-optimized structure of AlFeCo2, from Alexandria via LeMat-Bulk.

Cell: 2.8583 3.9073 4.6646 Å, 114.76 107.84 90.00°
Fractional positions:
Co  0.9980  0.9980  0.9960
Co  0.2481  0.7481  0.4963
Fe  0.5051  0.5051  0.0102
Al  0.7488  0.2488  0.4976

The calculation puts the density of states at the Fermi level at 1.742 states/eV/cell. Its symmetry is Imm2.

=====

The following is a SCAN calculation of a PBEsol-optimized structure of Al2FeCo, from Alexandria via LeMat-Bulk.

Cell: 3.9988 3.9988 3.9988 Å, 60.00 60.00 60.00°
Fractional positions:
Co  0.0000  0.0000  0.0000
Fe  0.5000  0.5000  0.5000
Al  0.2500  0.2500  0.2500
Al  0.7500  0.7500  0.7500

The calculation puts the density of states at the Fermi level at 1.909 states/eV/cell. Its symmetry is Fm-3m.

=====

Computed total energy, in the same sequence as the records: -10.336 -15.553 -13.212 -15.158 -15.448 -13.233 eV per atom.
Computed total magnetization, in the same sequence as the records: 3.002 5.002 0.468 5.539 5.641 0.190 μB/f.u..